Entry 1:
# GGA-PBEsol InFe3S, relaxed
# Magnetization, μB per formula unit: 8.6
# Raw formation energy, eV per atom: 1.810
# Fermi-level density of states, states/eV/cell: 10.4
# Relative energy among the computed polymorphs, eV/atom: 1.729
# SG: Pm-3m
# Volume, A^3/atom: 20.93
data_InFe3S
_space_group_name_H-M_alt 'P 1'
_space_group_IT_number 1
_space_group_name_Hall 'P 1'
_cell_length_a 4.712
_cell_length_b 4.712
_cell_length_c 4.712
_cell_angle_alpha 90.00
_cell_angle_beta 90.00
_cell_angle_gamma 90.00
loop_
_atom_site_label
_atom_site_fract_x
_atom_site_fract_y
_atom_site_fract_z
_atom_site_occupancy
S1 0.500 0.500 0.500 1
Fe1 0.000 0.500 0.000 1
Fe2 0.000 0.000 0.500 1
Fe3 0.500 0.000 0.000 1
In1 0.000 0.000 0.000 1

---

Entry 2:
# GGA-PBEsol InFeSb4, relaxed
# Magnetization, μB per formula unit: 3.5
# Raw formation energy, eV per atom: 0.703
# Fermi-level density of states, states/eV/cell: 6.9
# SG: F-43m
# Volume, A^3/atom: 27.00
data_InFeSb4
_space_group_name_H-M_alt 'P 1'
_space_group_IT_number 1
_space_group_name_Hall 'P 1'
_cell_length_a 6.119
_cell_length_b 6.119
_cell_length_c 6.119
_cell_angle_alpha 60.00
_cell_angle_beta 60.00
_cell_angle_gamma 60.00
loop_
_atom_site_label
_atom_site_fract_x
_atom_site_fract_y
_atom_site_fract_z
_atom_site_occupancy
Fe1 0.750 0.750 0.750 1
In1 0.000 0.000 0.000 1
Sb1 0.375 0.375 0.375 1
Sb2 0.375 0.375 0.875 1
Sb3 0.875 0.375 0.375 1
Sb4 0.375 0.875 0.375 1

---

Entry 3:
# GGA-PBEsol InFe2Sb, relaxed
# Magnetization, μB per formula unit: 3.9
# Raw formation energy, eV per atom: 0.397
# Fermi-level density of states, states/eV/cell: 3.4
# SG: R-3m
# Volume, A^3/atom: 16.39
data_InFe2Sb
_space_group_name_H-M_alt 'P 1'
_space_group_IT_number 1
_space_group_name_Hall 'P 1'
_cell_length_a 3.076
_cell_length_b 3.076
_cell_length_c 8.197
_cell_angle_alpha 79.18
_cell_angle_beta 79.18
_cell_angle_gamma 60.00
loop_
_atom_site_label
_atom_site_fract_x
_atom_site_fract_y
_atom_site_fract_z
_atom_site_occupancy
Fe1 0.253 0.253 0.242 1
Fe2 0.747 0.747 0.758 1
In1 0.500 0.500 0.500 1
Sb1 0.000 0.000 0.000 1

---

Entry 4:
# GGA-PBEsol InFeSb2Te, relaxed
# Magnetization, μB per formula unit: 0.0
# Raw formation energy, eV per atom: 0.288
# Fermi-level density of states, states/eV/cell: 4.1
# SG: P4/mmm
# Volume, A^3/atom: 25.37
data_InFeSb2Te
_space_group_name_H-M_alt 'P 1'
_space_group_IT_number 1
_space_group_name_Hall 'P 1'
_cell_length_a 4.738
_cell_length_b 4.738
_cell_length_c 5.652
_cell_angle_alpha 90.00
_cell_angle_beta 90.00
_cell_angle_gamma 90.00
loop_
_atom_site_label
_atom_site_fract_x
_atom_site_fract_y
_atom_site_fract_z
_atom_site_occupancy
Sb1 0.000 0.500 0.000 1
Sb2 0.500 0.000 0.000 1
Te1 0.000 0.000 0.500 1
Fe1 0.000 0.000 0.000 1
In1 0.500 0.500 0.500 1

---

Entry 5:
# GGA-PBEsol Sc2InFe, relaxed
# Magnetization, μB per formula unit: 0.5
# Fermi-level density of states, states/eV/cell: 4.1
# Formation energy, eV per formula unit: -0.54
# SG: Imm2
# Volume, A^3/atom: 18.61
data_Sc2InFe
_space_group_name_H-M_alt 'P 1'
_space_group_IT_number 1
_space_group_name_Hall 'P 1'
_cell_length_a 3.148
_cell_length_b 4.727
_cell_length_c 5.754
_cell_angle_alpha 114.25
_cell_angle_beta 105.87
_cell_angle_gamma 90.00
loop_
_atom_site_label
_atom_site_fract_x
_atom_site_fract_y
_atom_site_fract_z
_atom_site_occupancy
Fe1 0.499 0.999 0.999 1
In1 0.210 0.210 0.419 1
Sc1 0.994 0.494 0.989 1
Sc2 0.796 0.796 0.593 1

---

Entry 6:
# GGA-PBEsol Sc2InFe, relaxed
# Magnetization, μB per formula unit: 0.0
# Fermi-level density of states, states/eV/cell: 1.5
# Formation energy, eV per formula unit: -1.39
# SG: P4/mmm
# Volume, A^3/atom: 18.02
data_Sc2InFe
_space_group_name_H-M_alt 'P 1'
_space_group_IT_number 1
_space_group_name_Hall 'P 1'
_cell_length_a 3.166
_cell_length_b 3.166
_cell_length_c 7.191
_cell_angle_alpha 90.00
_cell_angle_beta 90.00
_cell_angle_gamma 90.00
loop_
_atom_site_label
_atom_site_fract_x
_atom_site_fract_y
_atom_site_fract_z
_atom_site_occupancy
Sc1 0.000 0.000 0.297 1
Sc2 0.000 0.000 0.703 1
Fe1 0.500 0.500 0.500 1
In1 0.500 0.500 0.000 1

---

Entry 7:
# GGA-PBEsol In2FeSe, relaxed
# Magnetization, μB per formula unit: 3.1
# Raw formation energy, eV per atom: 0.368
# Fermi-level density of states, states/eV/cell: 4.4
# SG: I4/mmm
# Volume, A^3/atom: 20.34
data_In2FeSe
_space_group_name_H-M_alt 'P 1'
_space_group_IT_number 1
_space_group_name_Hall 'P 1'
_cell_length_a 4.041
_cell_length_b 4.041
_cell_length_c 5.743
_cell_angle_alpha 110.60
_cell_angle_beta 110.60
_cell_angle_gamma 90.00
loop_
_atom_site_label
_atom_site_fract_x
_atom_site_fract_y
_atom_site_fract_z
_atom_site_occupancy
Fe1 0.000 0.000 0.000 1
In1 0.750 0.250 0.500 1
In2 0.250 0.750 0.500 1
Se1 0.500 0.500 0.000 1

---

Entry 8:
# GGA-PBEsol InFeSe2, relaxed
# Magnetization, μB per formula unit: 2.3
# Raw formation energy, eV per atom: -0.020
# Fermi-level density of states, states/eV/cell: 3.3
# SG: Amm2
# Volume, A^3/atom: 20.88
data_InFeSe2
_space_group_name_H-M_alt 'P 1'
_space_group_IT_number 1
_space_group_name_Hall 'P 1'
_cell_length_a 3.550
_cell_length_b 3.718
_cell_length_c 6.595
_cell_angle_alpha 106.37
_cell_angle_beta 90.00
_cell_angle_gamma 90.00
loop_
_atom_site_label
_atom_site_fract_x
_atom_site_fract_y
_atom_site_fract_z
_atom_site_occupancy
Fe1 0.000 0.162 0.324 1
In1 0.500 0.581 0.162 1
Se1 0.000 0.975 0.950 1
Se2 0.500 0.277 0.555 1

---

The highest Fermi-level density of states belongs to which entry?
InFe3S

---

Look up the Fermi-level density of states of the fourth one.
4.1 states/eV/cell

---

Which of these has the highest volume?
InFeSb4